{
  "formula": "Zr2NiSe",
  "functional": "GGA-PBEsol",
  "state": "optimized geometry",
  "lattice_angstrom": [[-1.903, 1.903, 4.751], [1.903, -1.903, 4.751], [1.903, 1.903, -4.751]],
  "species": ["Zr", "Zr", "Ni", "Se"],
  "frac_coords": [[0.000, 0.000, 0.000], [0.750, 0.250, 0.500], [0.500, 0.500, 0.000], [0.250, 0.750, 0.500]],
  "e_form_raw_ev_per_atom": -0.474
}

{
  "formula": "InGaAs2",
  "functional": "GGA-PBEsol",
  "state": "optimized geometry",
  "lattice_angstrom": [[-2.940, 2.940, 5.838], [2.940, -2.940, 5.838], [2.940, 2.940, -5.838]],
  "species": ["In", "In", "Ga", "Ga", "As", "As", "As", "As"],
  "frac_coords": [[0.000, 0.000, 0.000], [0.750, 0.250, 0.500], [0.250, 0.750, 0.500], [0.500, 0.500, 0.000], [0.150, 0.625, 0.025], [0.375, 0.400, 0.525], [0.600, 0.125, 0.975], [0.875, 0.850, 0.475]],
  "formation_energy_ev_per_fu": -1.0,
  "e_above_lowest_polymorph_mev_per_atom": 0.0
}

Number 1: theoretical density 7.7 g/cm³, volume 68.8 Å³ per cell. Number 2: theoretical density 5.5 g/cm³, volume 201.8 Å³ per cell.